[1]
DFT (PBEsol) results for crystalline SrMn2Te at its relaxed geometry.

Lattice parameters (Å, degrees): 4.4107 4.4107 4.6885 90.00 90.00 90.00
Last column: nearest neighbours and their distance in Å.
Positions (direct):
Mn1 0.0000 0.5000 0.0000  4 Mn 3.12, 4 Te 3.22, 4 Sr 3.22
Mn2 0.5000 0.0000 0.0000  4 Mn 3.12, 4 Te 3.22, 4 Sr 3.22
Sr1 0.5000 0.5000 0.5000  4 Te 3.12, 8 Mn 3.22
Te1 0.0000 0.0000 0.5000  4 Sr 3.12, 8 Mn 3.22

Summary:
Final energy   -5.83 eV/atom
DOS at the Fermi energy   1.003 states/eV per atom

***

[2]
DFT (PBEsol) results for crystalline Sr2MnTe at its relaxed geometry.

Lattice parameters (Å, degrees): 4.6230 4.6230 6.7454 110.04 110.04 90.00
Last column: nearest neighbours and their distance in Å.
Positions (direct):
Mn1 0.2500 0.7500 0.5000  4 Sr 3.27
Sr1 0.0000 0.0000 0.0000  4 Te 3.27
Sr2 0.7500 0.2500 0.5000  4 Mn 3.27
Te1 0.5000 0.5000 0.0000  4 Sr 3.27

Summary:
Final energy   -4.39 eV/atom
DOS at the Fermi energy   0.822 states/eV per atom

***

[3]
DFT (PBEsol) results for crystalline Sr2MnTe at its relaxed geometry.

Lattice parameters (Å, degrees): 4.4981 4.5254 6.5397 110.24 90.00 90.00
Last column: nearest neighbours and their distance in Å.
Positions (direct):
Sr1 0.0000 0.9825 0.9650  4 Mn 3.31, 3 Te 3.43-3.55
Sr2 0.5000 0.2728 0.5455  4 Te 3.34, 3 Mn 3.44-3.52
Te1 0.0000 0.6930 0.3860  2 Mn 2.83
Mn1 0.5000 0.5533 0.1066  2 Te 2.83

Summary:
Final energy   -4.60 eV/atom
DOS at the Fermi energy   0.807 states/eV per atom

***

[4]
DFT (PBEsol) results for crystalline SrMn3Te at its relaxed geometry.

Lattice parameters (Å, degrees): 4.9175 4.9175 4.9175 90.00 90.00 90.00
Last column: nearest neighbours and their distance in Å.
Positions (direct):
Sr1 0.5000 0.5000 0.5000  12 Mn 3.48
Te1 0.0000 0.0000 0.0000  6 Mn 2.46
Mn1 0.0000 0.5000 0.0000  2 Te 2.46
Mn2 0.0000 0.0000 0.5000  2 Te 2.46
Mn3 0.5000 0.0000 0.0000  2 Te 2.46

Summary:
Final energy   -6.13 eV/atom
DOS at the Fermi energy   0.450 states/eV per atom